DFT (PBE) results for Lu3Co11B4 after structural relaxation.

Results
Crystal system = hexagonal
D(E_F) = 19.716 states/eV/f.u.
E_form = -0.40 eV per atom
SG = No. 191

```
Lu3Co11B4
1.0
4.964 0.000 0.000
-2.482 4.299 0.000
0.000 0.000 9.771
Lu Co B
3 11 4
direct
0.000 0.000 0.000
0.000 0.000 0.342
0.000 0.000 0.658
0.000 0.500 0.201
0.000 0.500 0.500
0.000 0.500 0.799
0.333 0.667 0.000
0.500 0.000 0.201
0.500 0.000 0.500
0.500 0.000 0.799
0.500 0.500 0.201
0.500 0.500 0.500
0.500 0.500 0.799
0.667 0.333 0.000
0.333 0.667 0.350
0.333 0.667 0.650
0.667 0.333 0.350
0.667 0.333 0.650
```